Computed, not measured: a relaxed structure of CrBSb2 at the PBE level of DFT.

Cell: 6.1393 6.1393 6.4585 Å, 61.62 61.62 90.00°
With the nearest neighbours (Å) after each atom.
Fractional coordinates of all 8 atoms:
Sb 0.5696 0.1250 0.2500  2 B 2.28
Sb 0.1804 0.6250 0.2500  2 B 2.28
Sb 0.3750 0.4304 0.7500  2 B 2.28
Sb 0.8750 0.8196 0.7500  2 B 2.28
B 0.5000 0.5000 0.0000  4 Sb 2.28
B 0.2500 0.7500 0.5000  4 Sb 2.28
Cr 0.0000 0.0000 0.0000  4 Sb 2.70
Cr 0.7500 0.2500 0.5000  4 Sb 2.70

Output
For the energy, the calculation gives -5.5501 eV/atom. As for the uncorrected formation energy: 0.586 eV/atom. The calculation puts the volume at 180.24 Å³/cell. The total magnetic moment comes out at 0.780 μB/atom.